{"formula": "ZrNO2F", "functional": "PBE-GGA", "state": "optimized geometry", "cell": [[4.163, 0.000, 0.000], [0.000, 4.163, 0.000], [0.000, 0.000, 4.258]], "species": ["N", "F", "Zr", "O", "O"], "frac_coords": [[0.500, 0.500, 0.500], [0.000, 0.000, 0.500], [0.000, 0.000, 0.000], [0.500, 0.000, 0.000], [0.000, 0.500, 0.000]], "e_form_raw_ev_per_atom": -1.077, "spacegroup": "No. 123"}

---

{"formula": "OsNF2", "functional": "PBE-GGA", "state": "optimized geometry", "cell": [[-9.512, 0.956, 0.496], [-9.437, -1.600, -0.133], [-9.231, -0.856, 2.384]], "species": ["F", "F", "N", "Os"], "frac_coords": [[0.067, 0.067, 0.067], [0.933, 0.933, 0.933], [0.500, 0.500, 0.500], [0.000, 0.000, 0.000]], "e_form_raw_ev_per_atom": 0.582, "spacegroup": "No. 166", "relative_energy_ev_per_fu": 0.000}

---

Q: What is the formula in the second record?
A: OsNF2